Run A
## Gd2TlRh (GGA-PBE)

Data for an optimized crystal structure of Gd2TlRh.

The structure in POSCAR format:
```
Gd2TlRh
1.0
3.502 0.000 0.000
0.000 3.502 0.000
0.000 0.000 8.032
Tl Gd Rh
1 2 1
Direct
0.500 0.500 0.500
0.000 0.000 0.790
0.000 0.000 0.210
0.500 0.500 0.000
```

Results
The value obtained for the total magnetization is 14.255 μB/cell.


Run B
## Gd2TlRh (GGA-PBE)

Data for an optimized crystal structure of Gd2TlRh.

The structure in POSCAR format:
```
Gd2TlRh
1.0
-4.109 0.277 -3.122
-1.523 -4.172 -2.643
-4.387 -2.413 1.282
Tl Gd Rh
1 2 1
Direct
0.500 0.500 0.500
0.250 0.250 0.250
0.750 0.750 0.750
0.000 0.000 0.000
```

Results
The value obtained for the total magnetization is 14.118 μB/cell.


Run C
## Gd2TlRh (GGA-PBE)

Data for an optimized crystal structure of Gd2TlRh.

The structure in POSCAR format:
```
Gd2TlRh
1.0
-1.296 -2.976 -2.210
0.497 -3.703 1.206
-7.528 -1.940 3.539
Tl Gd Rh
1 2 1
Direct
0.500 0.500 0.500
0.267 0.267 0.199
0.733 0.733 0.801
0.000 0.000 0.000
```

Results
The value obtained for the total magnetization is 14.132 μB/cell.


run A is favored, and the nearest alternative lies 6.0 kJ/mol of atoms above it.